Material: KVCo2F8
Method: DFT, PBE+U
State: relaxed

Unit cell a=4.950 b=4.952 c=6.765 alpha=89.72 beta=89.76 gamma=87.94
Space group P-1 (No. 2)
Unique sites:
K 0.000 0.000 0.000 (multiplicity 1)
V 0.000 0.000 0.500 (multiplicity 1)
Co 0.498 0.498 0.250 (multiplicity 2)
F 0.193 0.776 0.700 (multiplicity 2)
F 0.194 0.777 0.301 (multiplicity 2)
F 0.299 0.276 0.499 (multiplicity 2)
F 0.376 0.300 0.000 (multiplicity 2)

The value obtained for the energy is -62.895 eV per cell.